Below is crystalline LaInB2Ir at its relaxed geometry, with properties calculated at the GGA-PBE level.

abc: 4.2680 4.2680 6.3668
angles: 90.00 90.00 90.00
Closest atoms and distances in Å follow each position.
Positions (direct):
La 0.0000 0.0000 0.0000  4 Ir 3.02, 2 In 3.18
In 0.0000 0.0000 0.5000  4 B 2.13
B 0.0000 0.5000 0.5000  2 In 2.13
B 0.5000 0.0000 0.5000  2 In 2.13
Ir 0.5000 0.5000 0.0000  4 La 3.02

Values from the calculation:
Calculated formation energy (eV/atom): 1.59

Below is crystalline NaP2OsO8 at its relaxed geometry, with properties calculated at the GGA-PBE level.

abc: 4.8609 4.8609 7.5831
angles: 91.31 91.31 65.46
Closest atoms and distances in Å follow each position.
Positions (direct):
Na 0.0000 0.0000 0.0000  2 O 2.32
P 0.3481 0.3481 0.2872  4 O 1.48-1.58
P 0.6519 0.6519 0.7128  4 O 1.48-1.58
Os 0.0000 0.0000 0.5000  6 O 1.94-1.98
O 0.2224 0.7031 0.3140  1 P 1.58
O 0.2316 0.2316 0.4487  1 P 1.57
O 0.2685 0.2685 0.1090  1 P 1.48
O 0.2969 0.7776 0.6860  1 P 1.58
O 0.7031 0.2224 0.3140  1 P 1.58
O 0.7315 0.7315 0.8910  1 P 1.48
O 0.7684 0.7684 0.5513  1 P 1.57
O 0.7776 0.2969 0.6860  1 P 1.58

Values from the calculation:
Uncorrected formation energy (eV/f.u.): -21.14

Below is crystalline V2ReIr5Ru at its relaxed geometry, with properties calculated at the GGA-PBE level.

abc: 7.3819 7.3819 7.3819
angles: 122.93 122.93 84.99
Closest atoms and distances in Å follow each position.
Positions (direct):
V 0.1057 0.6057 0.7114  1 V 2.11, 2 Ir 2.33
V 0.3943 0.1057 0.5000  1 V 2.11, 2 Ir 2.33
V 0.6057 0.8943 0.5000  1 V 2.11, 2 Ir 2.33
V 0.8943 0.3943 0.2886  1 V 2.11, 2 Ir 2.33
Re 0.2500 0.2500 0.0000  10 Ir 2.72-2.83
Re 0.7500 0.7500 0.0000  10 Ir 2.72-2.83
Ir 0.0000 0.0000 0.0000  2 Re 2.72, 4 V 2.88, 8 Ir 2.90
Ir 0.0780 0.1583 0.5000  1 V 2.33, 1 Ru 2.46
Ir 0.1583 0.6583 0.0803  1 V 2.33, 1 Ru 2.46
Ir 0.3417 0.4220 0.5000  1 V 2.33, 1 Ru 2.46
Ir 0.4220 0.9220 0.0803  1 V 2.33, 1 Ru 2.46
Ir 0.5000 0.5000 0.0000  2 Re 2.72, 4 V 2.88, 8 Ir 2.90
Ir 0.5780 0.0780 0.9197  1 V 2.33, 1 Ru 2.46
Ir 0.6583 0.5780 0.5000  1 V 2.33, 1 Ru 2.46
Ir 0.8417 0.3417 0.9197  1 V 2.33, 1 Ru 2.46
Ir 0.9220 0.8417 0.5000  1 V 2.33, 1 Ru 2.46
Ru 0.2500 0.7500 0.5000  4 Ir 2.46
Ru 0.7500 0.2500 0.5000  4 Ir 2.46

Values from the calculation:
Calculated formation energy (eV/atom): 0.34

Below is crystalline Al2ZnRh at its relaxed geometry, with properties calculated at the GGA-PBE level.

abc: 4.5836 4.5836 4.7327
angles: 99.23 99.23 36.76
Closest atoms and distances in Å follow each position.
Positions (direct):
Al 0.2399 0.2399 0.2346  3 Zn 2.61-2.80, 3 Rh 2.63-2.68, 6 Al 2.68-2.89
Al 0.7601 0.7601 0.7654  3 Zn 2.61-2.80, 3 Rh 2.63-2.68, 6 Al 2.68-2.89
Zn 0.0000 0.0000 0.5000  6 Al 2.61-2.80, 4 Rh 2.77, 2 Zn 2.89
Rh 0.5000 0.5000 0.0000  6 Al 2.63-2.68, 4 Zn 2.77, 2 Rh 2.89

Values from the calculation:
Calculated formation energy (eV/atom): -0.44

Below is crystalline Zr2HN2Cl2 at its relaxed geometry, with properties calculated at the GGA-PBE level.

abc: 9.9298 9.9298 9.9298
angles: 22.07 22.07 22.07
Closest atoms and distances in Å follow each position.
Positions (direct):
Zr 0.0000 0.0000 0.0000  4 N 2.22-2.25
Zr 0.2494 0.2494 0.2494  4 N 2.08-2.20
H 0.8867 0.8867 0.8867  1 N 1.04
N 0.3212 0.3212 0.3212  4 Zr 2.08-2.22
N 0.9225 0.9225 0.9225  1 H 1.04
Cl 0.5178 0.5178 0.5178  3 H 2.42
Cl 0.7270 0.7270 0.7270  3 Zr 2.81, 3 N 3.04

Values from the calculation:
Total energy (eV per cell): -49.87

Below is crystalline TaFe2CoB at its relaxed geometry, with properties calculated at the GGA-PBE level.

abc: 3.8328 3.8328 3.7728
angles: 90.00 90.00 90.00
Closest atoms and distances in Å follow each position.
Positions (direct):
Ta 0.0000 0.0000 0.0000  8 Fe 2.69, 4 Co 2.71
Fe 0.0000 0.5000 0.5000  2 B 1.92
Fe 0.5000 0.0000 0.5000  2 B 1.92
Co 0.5000 0.5000 0.0000  2 B 1.89
B 0.5000 0.5000 0.5000  2 Co 1.89, 4 Fe 1.92

Values from the calculation:
Calculated formation energy (eV/atom): -0.21